Here is Cr2GaO after structural relaxation from Alexandria via LeMat-Bulk. Energies are from PBE+U.

Calculated values
distance to the lowest polymorph of the same formula = 0.0000 eV per atom
uncorrected energy = -24.26 eV per formula unit
crystal system = tetragonal
magnetic moment = 16.15 μB/cell

Cell: 5.826 5.826 5.826 Å, 117.18 117.18 94.95°
Sites, in units of the cell vectors:
Cr 0.009 0.625 0.884
Cr 0.375 0.259 0.384
Cr 0.741 0.125 0.116
Cr 0.875 0.991 0.616
Ga 0.250 0.750 0.500
Ga 0.500 0.500 0.000
O 0.000 0.000 0.000
O 0.750 0.250 0.500